No. 1
First-principles (PBE with a Hubbard U) data for a relaxed PmAgMo2O8 crystal, as listed in Alexandria.

Lattice parameters (Å, degrees): 6.3124 6.3124 6.3124 106.42 106.42 115.77
Sites, in units of the cell vectors:
Pm 0.0000 0.0000 0.0000
Ag 0.7500 0.2500 0.5000
Mo 0.2500 0.7500 0.5000
Mo 0.5000 0.5000 0.0000
O 0.0988 0.4027 0.3040
O 0.0988 0.7948 0.6960
O 0.1442 0.3258 0.8184
O 0.2052 0.9012 0.3040
O 0.5073 0.3258 0.1816
O 0.5973 0.9012 0.6960
O 0.6742 0.4927 0.8184
O 0.6742 0.8558 0.1816

Output
**M_tot**: 0.00 μB/f.u.
**Space-group type**: I-4m2
**V**: 191.9 Å³/cell
**Total energy**: -6.9585 eV per atom


No. 2
First-principles (PBE with a Hubbard U) data for a relaxed PrAgMo2O8 crystal, as listed in Alexandria.

Lattice parameters (Å, degrees): 6.1725 6.1725 6.7896 90.00 90.00 120.00
Sites, in units of the cell vectors:
Pr 0.0000 0.0000 0.0000
Ag 0.0000 0.0000 0.5000
Mo 0.3333 0.6667 0.3101
Mo 0.6667 0.3333 0.6899
O 0.1717 0.3434 0.2246
O 0.1717 0.8283 0.2246
O 0.3333 0.6667 0.5659
O 0.3434 0.1717 0.7754
O 0.6566 0.8283 0.2246
O 0.6667 0.3333 0.4341
O 0.8283 0.1717 0.7754
O 0.8283 0.6566 0.7754

Output
**M_tot**: 0.00 μB/f.u.
**Space-group type**: P-3m1
**V**: 224.0 Å³/cell
**Total energy**: -6.9314 eV per atom